[1]
This record from Alexandria describes a relaxed CaSiSb2 crystal. The functional is PBE-GGA.

Properties
Crystal system = trigonal
Formation energy (no corrections) = -0.188 eV/atom

Cell: 8.2301 8.2301 8.2301 Å, 27.86 27.86 27.86°
Last column: nearest neighbours and their distance in Å.
Fractional positions:
1 Sb 0.9846 0.9846 0.9846  3 Si 2.80
2 Sb 0.5154 0.5154 0.5154  3 Si 2.80
3 Si 0.2500 0.2500 0.2500  6 Sb 2.80
4 Ca 0.7500 0.7500 0.7500  6 Sb 3.27

[2]
This record from Alexandria describes a relaxed LiCaAs crystal. The functional is PBE-GGA.

Properties
Crystal system = orthorhombic
Formation enthalpy at 0 K = -3.2 eV/f.u.

Cell: 4.3194 7.2535 7.9723 Å, 90.00 90.00 90.00°
Last column: nearest neighbours and their distance in Å.
Fractional positions:
1 Ca 0.2500 0.0165 0.8049  5 As 3.01-3.11, 3 Li 3.10-3.11
2 Ca 0.7500 0.4835 0.3049  5 As 3.01-3.11, 3 Li 3.10-3.11
3 Ca 0.7500 0.9835 0.1951  5 As 3.01-3.11, 3 Li 3.10-3.11
4 Ca 0.2500 0.5165 0.6951  5 As 3.01-3.11, 3 Li 3.10-3.11
5 As 0.2500 0.7680 0.3947  4 Li 2.64-2.76
6 As 0.7500 0.2320 0.6053  4 Li 2.64-2.76
7 As 0.7500 0.7320 0.8947  4 Li 2.64-2.76
8 As 0.2500 0.2680 0.1053  4 Li 2.64-2.76
9 Li 0.7500 0.8541 0.5674  4 As 2.64-2.76
10 Li 0.7500 0.3541 0.9326  4 As 2.64-2.76
11 Li 0.2500 0.1459 0.4326  4 As 2.64-2.76
12 Li 0.2500 0.6459 0.0674  4 As 2.64-2.76

[3]
This record from Alexandria describes a relaxed CaAc5Ir3 crystal. The functional is PBE-GGA.

Properties
Crystal system = monoclinic
Formation enthalpy at 0 K = -4.9 eV/f.u.

Cell: 8.3145 8.3145 11.3420 Å, 96.09 114.82 106.41°
Last column: nearest neighbours and their distance in Å.
Fractional positions:
1 Ir 0.4991 0.3339 0.8330  6 Ac 2.99-3.02
2 Ir 0.5009 0.6661 0.1670  6 Ac 2.99-3.02
3 Ir 0.5000 0.0000 0.5000  4 Ac 2.95, 2 Ca 2.97
4 Ir 0.9998 0.6657 0.6655  5 Ac 2.95-3.01, 1 Ca 3.00
5 Ir 0.0000 0.0000 0.0000  4 Ac 2.95, 2 Ca 2.98
6 Ir 0.0002 0.3343 0.3345  5 Ac 2.95-3.01, 1 Ca 3.00
7 Ac 0.2962 0.2962 0.0000  3 Ir 2.95-3.01
8 Ac 0.6991 0.0334 0.3365  3 Ir 2.95-3.01
9 Ac 0.1970 0.7682 0.9652  3 Ir 2.95-3.02
10 Ac 0.7038 0.7038 0.0000  3 Ir 2.95-3.01
11 Ac 0.6968 0.3626 0.6635  3 Ir 2.95-3.01
12 Ac 0.8030 0.2318 0.0348  3 Ir 2.95-3.02
13 Ac 0.8019 0.5656 0.3675  3 Ir 2.95-2.99
14 Ac 0.3009 0.9666 0.6635  3 Ir 2.95-3.01
15 Ac 0.3032 0.6374 0.3365  3 Ir 2.95-3.01
16 Ac 0.1981 0.4344 0.6325  3 Ir 2.95-2.99
17 Ca 0.2014 0.0987 0.3001  3 Ir 2.97-3.00
18 Ca 0.7986 0.9013 0.6999  3 Ir 2.97-3.00

[4]
This record from Alexandria describes a relaxed ErCu4Ge2 crystal. The functional is PBE-GGA.

Properties
Distance to the lowest polymorph of the same formula = 0.0 kJ per mole of atoms
Crystal system = tetragonal
Formation enthalpy at 0 K = -2.3 eV/f.u.

Cell: 3.9642 7.3576 7.3576 Å, 90.00 90.00 90.00°
Last column: nearest neighbours and their distance in Å.
Fractional positions:
1 Cu 0.0000 0.9088 0.6531  3 Ge 2.46-2.48, 6 Cu 2.62-2.71
2 Cu 0.0000 0.6531 0.9088  3 Ge 2.46-2.48, 6 Cu 2.62-2.71
3 Cu 0.0000 0.0912 0.3469  3 Ge 2.46-2.48, 6 Cu 2.62-2.71
4 Cu 0.5000 0.4088 0.8469  3 Ge 2.46-2.48, 6 Cu 2.62-2.71
5 Cu 0.5000 0.8469 0.4088  3 Ge 2.46-2.48, 6 Cu 2.62-2.71
6 Cu 0.5000 0.5912 0.1531  3 Ge 2.46-2.48, 6 Cu 2.62-2.71
7 Cu 0.0000 0.3469 0.0912  3 Ge 2.46-2.48, 6 Cu 2.62-2.71
8 Cu 0.5000 0.1531 0.5912  3 Ge 2.46-2.48, 6 Cu 2.62-2.71
9 Er 0.5000 0.0000 0.0000  6 Ge 2.95-3.00, 12 Cu 3.21-3.30
10 Er 0.0000 0.5000 0.5000  6 Ge 2.95-3.00, 12 Cu 3.21-3.30
11 Ge 0.0000 0.2163 0.7837  6 Cu 2.46-2.48
12 Ge 0.0000 0.7837 0.2163  6 Cu 2.46-2.48
13 Ge 0.5000 0.2837 0.2837  6 Cu 2.46-2.48
14 Ge 0.5000 0.7163 0.7163  6 Cu 2.46-2.48

[5]
This record from Alexandria describes a relaxed Ca2YHg3 crystal. The functional is PBE-GGA.

Properties
Crystal system = tetragonal
Formation enthalpy at 0 K = -3.2 eV/f.u.

Cell: 3.7865 3.7865 11.1905 Å, 90.00 90.00 90.00°
Last column: nearest neighbours and their distance in Å.
Fractional positions:
1 Ca 0.5000 0.5000 0.1681  8 Hg 3.27-3.31
2 Ca 0.5000 0.5000 0.8319  8 Hg 3.27-3.31
3 Hg 0.0000 0.0000 0.0000  8 Ca 3.27
4 Hg 0.0000 0.0000 0.3419  4 Y 3.21, 4 Ca 3.31, 1 Hg 3.54
5 Hg 0.0000 0.0000 0.6581  4 Y 3.21, 4 Ca 3.31, 1 Hg 3.54
6 Y 0.5000 0.5000 0.5000  8 Hg 3.21

[6]
This record from Alexandria describes a relaxed CdSb2TeAs crystal. The functional is PBE-GGA.

Properties
Distance to the lowest polymorph of the same formula = 36.6 kJ per mole of atoms
Crystal system = tetragonal
Formation energy (no corrections) = 0.941 eV/atom

Cell: 5.4602 5.4602 5.5103 Å, 90.00 90.00 90.00°
Last column: nearest neighbours and their distance in Å.
Fractional positions:
1 Sb 0.0000 0.5000 0.0000  2 Cd 2.73
2 Sb 0.5000 0.0000 0.0000  2 Cd 2.73
3 As 0.5000 0.5000 0.5000  4 Te 3.86, 8 Sb 3.88
4 Te 0.0000 0.0000 0.5000  2 Cd 2.76
5 Cd 0.0000 0.0000 0.0000  4 Sb 2.73, 2 Te 2.76